No. 1
The following is a DFT calculation (PBE) of an optimized crystal structure of HIrS2.

Computed properties:
Total energy (eV/atom): -4.922
Space-group type: R3m

abc: 7.4782 7.4782 7.4782
angles: 25.00 25.00 25.00
Closest atoms and distances in Å follow each position.
Sites, in units of the cell vectors:
H  0.9717  0.9717  0.9717  3 S 1.88
S  0.1289  0.1289  0.1289  3 Ir 2.27
S  0.6289  0.6289  0.6289  3 H 1.88
Ir  0.5216  0.5216  0.5216  4 S 2.27-2.33



No. 2
The following is a DFT calculation (PBE) of an optimized crystal structure of Ac2Mg3Ru2.

Computed properties:
ΔH_f (0 K) (eV per formula unit): -0.78
Space-group type: C2/m

abc: 4.5200 5.9590 7.2247
angles: 98.61 90.00 112.29
Closest atoms and distances in Å follow each position.
Sites, in units of the cell vectors:
Ac  0.6288  0.2576  0.3536  5 Ru 3.16-3.30, 3 Mg 3.44-3.53
Ac  0.3712  0.7424  0.6464  5 Ru 3.16-3.30, 3 Mg 3.44-3.53
Mg  0.3261  0.6522  0.1413  2 Ru 2.84
Mg  0.0000  0.0000  0.0000  2 Ru 2.76
Mg  0.6739  0.3478  0.8587  2 Ru 2.84
Ru  0.0721  0.1443  0.6513  1 Ru 2.49, 1 Mg 2.76
Ru  0.9279  0.8557  0.3487  1 Ru 2.49, 1 Mg 2.76



No. 3
The following is a DFT calculation (PBE) of an optimized crystal structure of CaCo2Re2.

Computed properties:
ΔH_f (0 K) (eV per formula unit): 1.75
Space-group type: P4/mbm

abc: 7.5187 7.5187 2.6295
angles: 90.00 90.00 90.00
Closest atoms and distances in Å follow each position.
Sites, in units of the cell vectors:
Re  0.1701  0.6701  0.5000  6 Co 2.57-2.59, 2 Re 2.63
Re  0.6701  0.8299  0.5000  6 Co 2.57-2.59, 2 Re 2.63
Re  0.8299  0.3299  0.5000  6 Co 2.57-2.59, 2 Re 2.63
Re  0.3299  0.1701  0.5000  6 Co 2.57-2.59, 2 Re 2.63
Ca  0.0000  0.0000  0.0000  2 Ca 2.63
Ca  0.5000  0.5000  0.0000  2 Ca 2.63
Co  0.3802  0.8802  0.0000  3 Co 2.55-2.63, 6 Re 2.57-2.59
Co  0.8802  0.6198  0.0000  3 Co 2.55-2.63, 6 Re 2.57-2.59
Co  0.6198  0.1198  0.0000  3 Co 2.55-2.63, 6 Re 2.57-2.59
Co  0.1198  0.3802  0.0000  3 Co 2.55-2.63, 6 Re 2.57-2.59



Number 1: mass density 6.502 g/cm³. Number 2: mass density 6.813 g/cm³. Number 3: mass density 11.849 g/cm³.